Here is crystalline BaTc2NiF at its relaxed geometry from the Alexandria database. Energies are from PBE+U.

abc: 4.1445 4.1445 5.4650
angles: 90.00 90.00 90.00
Atoms (fractional coordinates):
Ba1 0.0000 0.0000 0.0000
Tc1 0.0000 0.5000 0.5000
Tc2 0.5000 0.0000 0.5000
Ni1 0.5000 0.5000 0.0000
F1 0.5000 0.5000 0.5000

Values from the calculation:
Uncorrected energy   -21.619 eV per cell
Total magnetic moment   0.0 μB per formula unit